Entry a
Below is MnHg2Mo after structural relaxation, with properties calculated at the GGA-PBEsol level.

The value obtained for the density of states at the Fermi level is 2.64 states/eV per cell.

a = 2.873 Å, b = 4.038 Å, c = 5.856 Å
α = 90.00°, β = 90.00°, γ = 90.00°
Positions (direct):
Hg 0.000 0.000 0.754
Hg 0.000 0.000 0.246
Mn 0.500 0.500 0.000
Mo 0.500 0.500 0.500

Entry b
Below is MnHg2Mo after structural relaxation, with properties calculated at the GGA-PBEsol level.

The value obtained for the density of states at the Fermi level is 3.55 states/eV per cell.

a = 2.861 Å, b = 2.861 Å, c = 8.284 Å
α = 90.00°, β = 90.00°, γ = 90.00°
Positions (direct):
Hg 0.000 0.000 0.759
Hg 0.000 0.000 0.241
Mn 0.500 0.500 0.000
Mo 0.500 0.500 0.500

Least stable of them? entry a.

Entry a
Below is MnHg2Ru after structural relaxation, with properties calculated at the GGA-PBEsol level.

The value obtained for the density of states at the Fermi level is 3.38 states/eV per cell.

a = 2.917 Å, b = 2.917 Å, c = 9.319 Å
α = 81.00°, β = 81.00°, γ = 60.00°
Positions (direct):
Hg 0.993 0.993 0.021
Hg 0.759 0.759 0.723
Mn 0.509 0.509 0.474
Ru 0.239 0.239 0.282

Entry b
Below is MnHg2Ru after structural relaxation, with properties calculated at the GGA-PBEsol level.

The value obtained for the density of states at the Fermi level is 2.53 states/eV per cell.

a = 3.091 Å, b = 4.707 Å, c = 4.707 Å
α = 104.33°, β = 90.00°, γ = 90.00°
Positions (direct):
Hg 0.000 0.500 0.000
Hg 0.000 0.000 0.500
Mn 0.500 0.000 0.000
Ru 0.500 0.500 0.500

Entry c
Below is MnHg2Ru after structural relaxation, with properties calculated at the GGA-PBEsol level.

The value obtained for the density of states at the Fermi level is 3.42 states/eV per cell.

a = 2.945 Å, b = 2.945 Å, c = 9.102 Å
α = 80.69°, β = 80.69°, γ = 60.00°
Positions (direct):
Hg 0.250 0.250 0.251
Hg 0.750 0.750 0.749
Mn 0.500 0.500 0.500
Ru 0.000 0.000 0.000

Least stable of them? entry c.